# 1
Tc4Ir: optimized geometry, PBE-GGA.

Cell and atoms, written as POSCAR:
```
Tc4Ir
1.0
-3.064 3.064 1.940
3.064 -3.064 1.940
3.064 3.064 -1.940
Tc Ir
4 1
Direct
0.104 0.299 0.403 Tc
0.299 0.896 0.195 Tc
0.701 0.104 0.805 Tc
0.896 0.701 0.597 Tc
0.500 0.500 0.000 Ir
```

Its magnetic moment is 0.00 μB per formula unit. The calculation puts the volume at 14.6 Å³/atom. Its formation enthalpy at 0 K is -0.0418 eV per atom. As for the density of states at the Fermi level: 1.17 states/eV/atom.

---

# 2
MoOs3Pb: optimized geometry, PBE-GGA.

Cell and atoms, written as POSCAR:
```
MoOs3Pb
1.0
4.765 0.000 0.000
0.000 4.765 0.000
0.000 0.000 4.765
Mo Os Pb
1 3 1
Direct
0.000 0.000 0.000 Mo
0.000 0.000 0.500 Os
0.000 0.500 0.000 Os
0.500 0.000 0.000 Os
0.500 0.500 0.500 Pb
```

Its magnetic moment is 0.00 μB per formula unit. The calculation puts the volume at 21.6 Å³/atom. Its formation enthalpy at 0 K is 1.9806 eV per atom. As for the density of states at the Fermi level: 1.02 states/eV/atom.

---

# 3
ScTeOs2: optimized geometry, PBE-GGA.

Cell and atoms, written as POSCAR:
```
ScTeOs2
1.0
3.048 0.000 0.000
0.000 3.048 0.000
0.000 0.000 7.800
Sc Te Os
1 1 2
Direct
0.000 0.000 0.000 Sc
0.500 0.500 0.291 Te
0.000 0.000 0.555 Os
0.500 0.500 0.754 Os
```

Its magnetic moment is 0.00 μB per formula unit. The calculation puts the volume at 18.1 Å³/atom. As for the final energy: -7.784 eV per atom. As for the density of states at the Fermi level: 0.78 states/eV/atom.

---

# 4
Rb5SiTe4I2: optimized geometry, PBE-GGA.

Cell and atoms, written as POSCAR:
```
Rb5SiTe4I2
1.0
11.200 0.000 0.000
0.000 5.975 4.440
0.000 -5.975 4.440
Rb Si Te I
5 1 4 2
Direct
0.000 0.000 0.000 Rb
0.261 0.263 0.676 Rb
0.261 0.676 0.263 Rb
0.739 0.263 0.676 Rb
0.739 0.676 0.263 Rb
0.500 0.985 0.985 Si
0.312 0.138 0.138 Te
0.500 0.626 0.910 Te
0.500 0.910 0.626 Te
0.688 0.138 0.138 Te
0.000 0.496 0.950 I
0.000 0.950 0.496 I
```

Its magnetic moment is 0.97 μB per formula unit. The calculation puts the volume at 49.5 Å³/atom. As for the final energy: -3.068 eV per atom.

---

# 5
CsNpHgTe3: optimized geometry, PBE-GGA.

Cell and atoms, written as POSCAR:
```
CsNpHgTe3
1.0
9.865 0.000 0.000
0.000 4.672 0.000
-4.001 0.000 10.544
Cs Np Hg Te
2 2 2 6
Direct
0.232 0.250 0.262 Cs
0.768 0.750 0.738 Cs
0.318 0.750 0.860 Np
0.682 0.250 0.140 Np
0.091 0.250 0.621 Hg
0.909 0.750 0.379 Hg
0.109 0.250 0.879 Te
0.225 0.750 0.553 Te
0.475 0.750 0.151 Te
0.525 0.250 0.849 Te
0.775 0.250 0.447 Te
0.891 0.750 0.121 Te
```

Its magnetic moment is 3.89 μB per formula unit. The calculation puts the volume at 40.5 Å³/atom. As for the final energy: -4.565 eV per atom. As for the density of states at the Fermi level: 1.51 states/eV/atom.

---

# 6
Th2Ga3Pt: optimized geometry, PBE-GGA.

Cell and atoms, written as POSCAR:
```
Th2Ga3Pt
1.0
0.000 4.361 7.566
4.058 0.000 7.566
4.058 4.361 0.000
Th Ga Pt
4 6 2
Direct
0.238 0.762 0.762 Th
0.250 0.250 0.250 Th
0.750 0.750 0.750 Th
0.762 0.238 0.238 Th
0.172 0.663 0.337 Ga
0.337 0.337 0.663 Ga
0.337 0.828 0.172 Ga
0.663 0.172 0.828 Ga
0.663 0.663 0.337 Ga
0.828 0.337 0.663 Ga
0.169 0.169 0.831 Pt
0.831 0.831 0.169 Pt
```

Its magnetic moment is 0.00 μB per formula unit. The calculation puts the volume at 22.3 Å³/atom. Its formation enthalpy at 0 K is -0.8118 eV per atom. As for the density of states at the Fermi level: 0.55 states/eV/atom.